Below is crystalline Li2NdHoSi2 at its relaxed geometry, with properties calculated at the PBE level.

The calculation puts the raw total energy at -4.557 eV per atom. Its density of states at the Fermi level is 1.40 states/eV/f.u. Its formation energy (no corrections) is -0.5541 eV per atom.

The space group is P-3m1 (No. 164) and the conventional cell measures 4.4162, 4.4162 and 7.2916 Å, with angles of 90.00, 90.00 and 120.00 degrees. The asymmetric unit holds Li at (0.3333, 0.6667, 0.2178), Nd at (0.0000, 0.0000, 0.5000), Ho at (0.0000, 0.0000, 0.0000) and Si at (0.3333, 0.6667, 0.7642).


Below is crystalline Cs3YBr8 at its relaxed geometry, with properties calculated at the PBE level.

The calculation puts the raw total energy at -3.247 eV per atom. Its density of states at the Fermi level is 16.51 states/eV/f.u. Its formation energy (no corrections) is -1.3800 eV per atom.

The space group is I4/mmm (No. 139) and the conventional cell measures 8.136, 8.136 and 16.278 Å, with angles of 90.00, 90.00 and 90.00 degrees. The asymmetric unit holds Cs at (0.000, 0.000, 0.000), Cs at (0.000, 0.500, 0.250), Y at (0.000, 0.000, 0.500) and Br at (0.211, 0.211, 0.394).


Below is crystalline TbNd6Er3 at its relaxed geometry, with properties calculated at the PBE level.

The calculation puts the raw total energy at -4.566 eV per atom. Its density of states at the Fermi level is 15.78 states/eV/f.u. Its energy of formation is 0.1269 eV/atom. As for the energy relative to the lowest polymorph listed for this composition: 0 meV/atom.

The space group is Cmc2_1 (No. 36) and the conventional cell measures 9.823, 21.408 and 6.441 Å, with angles of 90.00, 90.00 and 90.00 degrees. The asymmetric unit holds Tb at (0.000, 0.157, 0.000), Nd at (0.000, 0.016, 0.204), Nd at (0.000, 0.301, 0.215), Nd at (0.174, 0.281, 0.692), Nd at (0.180, 0.440, 0.441), Er at (0.000, 0.420, 0.921) and Er at (0.168, 0.125, 0.523).